Entry from Alexandria via LeMat-Bulk: a relaxed YZnMo2 crystal (PBE).

Properties
Total magnetization, μB/f.u.: 0.00
Space-group type: C2/m, No. 12
DFT formation energy, eV per atom: 0.299

abc: 5.258 5.258 4.852
angles: 106.14 106.14 37.27
Element x y z (fractional)
Y 0.000 0.000 0.000
Zn 0.500 0.500 0.500
Mo 0.234 0.234 0.674
Mo 0.766 0.766 0.326

Entry from Alexandria via LeMat-Bulk: a relaxed YZn2Mo crystal (PBE).

Properties
Energy above the most stable polymorph in this dataset, eV/atom: 0.3077
Total magnetization, μB/f.u.: 0.00
Space-group type: R-3m, No. 166
DFT formation energy, eV per atom: 0.327

abc: 9.585 9.585 9.585
angles: 18.17 18.17 18.17
Element x y z (fractional)
Y 0.000 0.000 0.000
Zn 0.242 0.242 0.242
Zn 0.758 0.758 0.758
Mo 0.500 0.500 0.500

Repeat the first record exactly.
Entry from Alexandria via LeMat-Bulk: a relaxed YZnMo2 crystal (PBE).

Properties
Total magnetization, μB/f.u.: 0.00
Space-group type: C2/m, No. 12
DFT formation energy, eV per atom: 0.299

abc: 5.258 5.258 4.852
angles: 106.14 106.14 37.27
Element x y z (fractional)
Y 0.000 0.000 0.000
Zn 0.500 0.500 0.500
Mo 0.234 0.234 0.674
Mo 0.766 0.766 0.326